The following is a PBE calculation of LaHg3O after structural relaxation, from the Alexandria database.

Cell and atoms, written as POSCAR:
```
LaHg3O
1.0
5.0050 0.0000 0.0000
0.0000 5.0050 0.0000
0.0000 0.0000 5.0050
La Hg O
1 3 1
Direct
0.0000 0.0000 0.0000
0.0000 0.5000 0.5000
0.5000 0.0000 0.5000
0.5000 0.5000 0.0000
0.5000 0.5000 0.5000
```

Computed properties:
space-group type	Pm-3m, No. 221
formation energy without anion corrections	-0.005	eV/atom
energy relative to the lowest polymorph listed for this composition	0.000	eV per atom

The following is a PBE calculation of Ag2SbN after structural relaxation, from the Alexandria database.

Cell and atoms, written as POSCAR:
```
Ag2SbN
1.0
-3.1115 3.1115 4.2152
3.1115 -3.1115 4.2152
3.1115 3.1115 -4.2152
Ag Sb N
4 2 2
Direct
0.0336 0.6250 0.9086
0.3750 0.2836 0.4086
0.7164 0.1250 0.0914
0.8750 0.9664 0.5914
0.2500 0.7500 0.5000
0.5000 0.5000 0.0000
0.0000 0.0000 0.0000
0.7500 0.2500 0.5000
```

Computed properties:
space-group type	I-42d, No. 122
formation energy without anion corrections	0.939	eV/atom
energy relative to the lowest polymorph listed for this composition	0.000	eV per atom

The following is a PBE calculation of ZrBe6Co2 after structural relaxation, from the Alexandria database.

Cell and atoms, written as POSCAR:
```
ZrBe6Co2
1.0
-1.7886 2.8820 4.5464
1.7886 -2.8820 4.5464
1.7886 2.8820 -4.5464
Zr Be Co
1 6 2
Direct
0.0000 0.0000 0.0000
0.0871 0.2825 0.8047
0.3330 0.5000 0.8330
0.4778 0.2825 0.1953
0.5222 0.7175 0.8047
0.6670 0.5000 0.1670
0.9129 0.7175 0.1953
0.3672 0.8672 0.5000
0.6328 0.1328 0.5000
```

Computed properties:
space-group type	Immm, No. 71
formation enthalpy at 0 K	-82	meV per atom

The following is a PBE calculation of Zn2Cd2PdPt5 after structural relaxation, from the Alexandria database.

Cell and atoms, written as POSCAR:
```
Zn2Cd2PdPt5
1.0
9.2436 0.0000 0.0000
0.0000 9.2436 0.0000
0.0000 0.0000 3.9120
Zn Cd Pd Pt
4 4 2 10
Direct
0.1271 0.3729 0.0000
0.3729 0.8729 0.0000
0.6271 0.1271 0.0000
0.8729 0.6271 0.0000
0.1727 0.6727 0.0000
0.3273 0.1727 0.0000
0.6727 0.8273 0.0000
0.8273 0.3273 0.0000
0.0000 0.0000 0.0000
0.5000 0.5000 0.0000
0.0000 0.5000 0.5000
0.0759 0.1998 0.5000
0.1998 0.9241 0.5000
0.3002 0.4241 0.5000
0.4241 0.6998 0.5000
0.5000 0.0000 0.5000
0.5759 0.3002 0.5000
0.6998 0.5759 0.5000
0.8002 0.0759 0.5000
0.9241 0.8002 0.5000
```

Computed properties:
space-group type	P4/mbm, No. 127
formation enthalpy at 0 K	-234	meV per atom